KLa2As | the Alexandria database | PBE-GGA | optimized geometry; calculated formation energy = -0.3779 eV/atom; total magnetization = 0.001 μB/atom
1.0
7.2851 -0.0014 -0.0076
3.4536 6.4145 0.0076
-4.5112 -4.6436 3.3405
As K La
1 1 2
direct
0.7500 0.2500 0.5000 As
0.2500 0.7500 0.5000 K
0.9272 0.9272 0.0000 La
0.5728 0.5728 0.0000 La